# Cs2Ta3VO12 | the Alexandria database | PBE+U | optimized geometry
data_Cs2Ta3VO12
_chemical_formula_sum 'Cs6 Ta9 V3 O36'
_space_group_name_H-M_alt 'R -3 m'
_space_group_IT_number 166
_space_group_name_Hall '-R 3 2"'
_cell_length_a 7.4697
_cell_length_b 7.4697
_cell_length_c 17.9377
_cell_angle_alpha 90.00
_cell_angle_beta 90.00
_cell_angle_gamma 120.00
loop_
_atom_site_label
_atom_site_type_symbol
_atom_site_fract_x
_atom_site_fract_y
_atom_site_fract_z
Cs1 Cs 0.0000 0.0000 0.1263
Ta1 Ta 0.0000 0.5000 0.0000
V1 V 0.0000 0.0000 0.5000
O1 O 0.0834 0.5417 0.3569
O2 O 0.0964 0.5482 0.1057
# Raw total energy   -8.10 eV/atom
# Total magnetic moment   0.119 μB/atom